Compound: SrCa2VBr
Source: Alexandria
Functional: PBE
Structure: relaxed

Results
* formation energy from raw total energies: 0.814 eV per atom
* total moment: 4.1 μB per cell

Cell lengths 6.931, 5.536, 6.931 Å; angles 90.00, 90.00, 90.00 degrees
Sites, in units of the cell vectors:
Sr (0.000, 0.000, 0.000)
Ca (0.000, 0.000, 0.500)
Ca (0.500, 0.000, 0.000)
Br (0.000, 0.500, 0.000)
V (0.500, 0.500, 0.500)

Compound: Ca2TaBr
Source: Alexandria
Functional: PBE
Structure: relaxed

Results
* formation energy from raw total energies: 0.406 eV per atom
* total moment: 1.3 μB per cell

Cell lengths 6.295, 6.295, 6.295 Å; angles 148.44, 120.85, 68.60 degrees
Sites, in units of the cell vectors:
Ca (0.027, 0.027, 0.000)
Ca (0.473, 0.473, 0.000)
Br (0.250, 0.750, 0.500)
Ta (0.750, 0.250, 0.500)

Compound: CaTa2Br
Source: Alexandria
Functional: PBE
Structure: relaxed

Results
* formation energy from raw total energies: 0.010 eV per atom
* total moment: 0.0 μB per cell

Cell lengths 3.427, 3.525, 8.090 Å; angles 77.41, 90.00, 90.00 degrees
Sites, in units of the cell vectors:
Ca (0.500, 0.685, 0.755)
Br (0.000, 0.307, 0.511)
Ta (0.000, 0.042, 0.041)
Ta (0.500, 0.466, 0.193)